--- 1 ---
Computed, not measured: crystalline InBC2 at its relaxed geometry at the PBE level of DFT.

Cell: 4.265 4.265 9.466 Å, 90.00 90.00 90.00°
Space group I-42d (No. 122)
Symmetry-distinct sites (fractional):
In 0.000 0.000 0.000 x4
B 0.000 0.000 0.500 x4
C 0.106 0.250 0.625 x8

Values from the calculation:
theoretical density	5.773	g cm⁻³
M_tot	0.00	μB/atom

--- 2 ---
Computed, not measured: crystalline InBC2 at its relaxed geometry at the PBE level of DFT.

Cell: 5.586 5.586 5.586 Å, 90.00 90.00 90.00°
Space group Fm-3m (No. 225)
Symmetry-distinct sites (fractional):
In 0.000 0.000 0.000 x4
B 0.000 0.000 0.500 x4
C 0.250 0.250 0.250 x8

Values from the calculation:
theoretical density	5.703	g cm⁻³
M_tot	0.00	μB/atom

Which one sits at the top of the stability order? 1 does.

--- 1 ---
Computed, not measured: crystalline BIrC3 at its relaxed geometry at the PBE level of DFT.

Cell: 3.971 3.971 3.971 Å, 90.00 90.00 90.00°
Space group Pm-3m (No. 221)
Symmetry-distinct sites (fractional):
B 0.000 0.000 0.000 x1
Ir 0.500 0.500 0.500 x1
C 0.000 0.500 0.500 x3

Values from the calculation:
theoretical density	6.339	g cm⁻³
M_tot	0.00	μB/atom

--- 2 ---
Computed, not measured: crystalline BIrC3 at its relaxed geometry at the PBE level of DFT.

Cell: 3.484 3.484 3.484 Å, 90.00 90.00 90.00°
Space group Pm-3m (No. 221)
Symmetry-distinct sites (fractional):
B 0.000 0.000 0.000 x1
Ir 0.500 0.500 0.500 x1
C 0.000 0.000 0.500 x3

Values from the calculation:
theoretical density	9.390	g cm⁻³
M_tot	0.00	μB/atom

Which one sits at the top of the stability order? 2 does.

--- 1 ---
Computed, not measured: crystalline K2BC at its relaxed geometry at the PBE level of DFT.

Cell: 11.590 11.590 2.946 Å, 90.00 90.00 90.00°
Space group I-42d (No. 122)
Symmetry-distinct sites (fractional):
K 0.006 0.250 0.125 x8
B 0.000 0.000 0.500 x4
C 0.000 0.000 0.000 x4

Values from the calculation:
theoretical density	1.696	g cm⁻³
M_tot	0.00	μB/atom

--- 2 ---
Computed, not measured: crystalline K2BC at its relaxed geometry at the PBE level of DFT.

Cell: 7.272 7.272 7.272 Å, 90.00 90.00 90.00°
Space group Fm-3m (No. 225)
Symmetry-distinct sites (fractional):
K 0.250 0.250 0.250 x8
B 0.000 0.000 0.000 x4
C 0.000 0.000 0.500 x4

Values from the calculation:
theoretical density	1.745	g cm⁻³
M_tot	0.25	μB/atom

Which one sits at the top of the stability order? 1 does.

--- 1 ---
Computed, not measured: crystalline KBC3 at its relaxed geometry at the PBE level of DFT.

Cell: 5.540 5.540 5.540 Å, 90.00 90.00 90.00°
Space group Pm-3m (No. 221)
Symmetry-distinct sites (fractional):
K 0.000 0.000 0.000 x1
B 0.500 0.500 0.500 x1
C 0.000 0.000 0.500 x3

Values from the calculation:
theoretical density	0.839	g cm⁻³
M_tot	1.60	μB/atom

--- 2 ---
Computed, not measured: crystalline KBC3 at its relaxed geometry at the PBE level of DFT.

Cell: 3.702 3.702 3.702 Å, 90.00 90.00 90.00°
Space group Pm-3m (No. 221)
Symmetry-distinct sites (fractional):
K 0.000 0.000 0.000 x1
B 0.500 0.500 0.500 x1
C 0.000 0.500 0.500 x3

Values from the calculation:
theoretical density	2.813	g cm⁻³
M_tot	0.00	μB/atom

Which one sits at the top of the stability order? 2 does.

--- 1 ---
Computed, not measured: crystalline LaB3C at its relaxed geometry at the PBE level of DFT.

Cell: 3.716 7.847 3.978 Å, 90.00 90.00 90.00°
Space group Pmn2_1 (No. 31)
Symmetry-distinct sites (fractional):
La 0.000 0.151 0.000 x2
B 0.000 0.707 0.142 x2
B 0.249 0.409 0.358 x4
C 0.000 0.578 0.499 x2

Values from the calculation:
theoretical density	5.250	g cm⁻³
M_tot	0.00	μB/atom

--- 2 ---
Computed, not measured: crystalline LaB3C at its relaxed geometry at the PBE level of DFT.

Cell: 4.857 4.857 4.857 Å, 90.00 90.00 90.00°
Space group Pm-3m (No. 221)
Symmetry-distinct sites (fractional):
La 0.000 0.000 0.000 x1
B 0.000 0.000 0.500 x3
C 0.500 0.500 0.500 x1

Values from the calculation:
theoretical density	2.657	g cm⁻³
M_tot	0.08	μB/atom

Which one sits at the top of the stability order? 1 does.

--- 1 ---
Computed, not measured: crystalline LaB3C3 at its relaxed geometry at the PBE level of DFT.

Cell: 4.908 4.908 4.908 Å, 90.00 90.00 90.00°
Space group Pm-3n (No. 223)
Symmetry-distinct sites (fractional):
La 0.000 0.000 0.000 x2
B 0.000 0.250 0.500 x6
C 0.000 0.500 0.250 x6

Values from the calculation:
theoretical density	5.824	g cm⁻³
M_tot	0.00	μB/atom

--- 2 ---
Computed, not measured: crystalline LaB3C3 at its relaxed geometry at the PBE level of DFT.

Cell: 8.6182 8.6182 2.7380 Å, 90.00 90.00 120.00°
Space group P6_3/m (No. 176)
Symmetry-distinct sites (fractional):
La 0.3333 0.6667 0.2500 x2
B 0.0035 0.8681 0.7500 x6
C 0.0299 0.5181 0.7500 x6

Values from the calculation:
theoretical density	3.911	g cm⁻³
M_tot	0.04	μB/atom

Which one sits at the top of the stability order? 1 does.

--- 1 ---
Computed, not measured: crystalline LaBC3 at its relaxed geometry at the PBE level of DFT.

Cell: 4.592 4.592 4.592 Å, 90.00 90.00 90.00°
Space group Pm-3m (No. 221)
Symmetry-distinct sites (fractional):
La 0.000 0.000 0.000 x1
B 0.500 0.500 0.500 x1
C 0.000 0.000 0.500 x3

Values from the calculation:
theoretical density	3.185	g cm⁻³
M_tot	0.21	μB/atom

--- 2 ---
Computed, not measured: crystalline LaBC3 at its relaxed geometry at the PBE level of DFT.

Cell: 3.730 3.730 3.730 Å, 90.00 90.00 90.00°
Space group Pm-3m (No. 221)
Symmetry-distinct sites (fractional):
La 0.000 0.000 0.000 x1
B 0.500 0.500 0.500 x1
C 0.000 0.500 0.500 x3

Values from the calculation:
theoretical density	5.942	g cm⁻³
M_tot	0.00	μB/atom

Which one sits at the top of the stability order? 2 does.

--- 1 ---
Computed, not measured: crystalline La2BC at its relaxed geometry at the PBE level of DFT.

Cell: 3.106 3.662 14.941 Å, 90.00 90.00 90.00°
Space group Immm (No. 71)
Symmetry-distinct sites (fractional):
La 0.000 0.000 0.125 x4
B 0.000 0.000 0.500 x2
C 0.000 0.500 0.000 x2

Values from the calculation:
theoretical density	5.875	g cm⁻³
M_tot	0.00	μB/atom

--- 2 ---
Computed, not measured: crystalline La2BC at its relaxed geometry at the PBE level of DFT.

Cell: 6.692 6.692 6.692 Å, 90.00 90.00 90.00°
Space group Fm-3m (No. 225)
Symmetry-distinct sites (fractional):
La 0.250 0.250 0.250 x8
B 0.000 0.000 0.000 x4
C 0.000 0.000 0.500 x4

Values from the calculation:
theoretical density	6.662	g cm⁻³
M_tot	0.00	μB/atom

Which one sits at the top of the stability order? 1 does.

--- 1 ---
Computed, not measured: crystalline LiBC3 at its relaxed geometry at the PBE level of DFT.

Cell: 3.424 3.424 3.424 Å, 90.00 90.00 90.00°
Space group Pm-3m (No. 221)
Symmetry-distinct sites (fractional):
Li 0.000 0.000 0.000 x1
B 0.500 0.500 0.500 x1
C 0.000 0.500 0.500 x3

Values from the calculation:
theoretical density	2.225	g cm⁻³
M_tot	0.00	μB/atom

--- 2 ---
Computed, not measured: crystalline LiBC3 at its relaxed geometry at the PBE level of DFT.

Cell: 3.581 3.581 3.581 Å, 90.00 90.00 90.00°
Space group Pm-3m (No. 221)
Symmetry-distinct sites (fractional):
Li 0.000 0.000 0.000 x1
B 0.500 0.500 0.500 x1
C 0.000 0.000 0.500 x3

Values from the calculation:
theoretical density	1.945	g cm⁻³
M_tot	0.00	μB/atom

Which one sits at the top of the stability order? 1 does.

--- 1 ---
Computed, not measured: crystalline LiB3C3 at its relaxed geometry at the PBE level of DFT.

Cell: 4.7113 4.7113 6.1200 Å, 90.00 90.00 120.00°
Space group P-31m (No. 162)
Symmetry-distinct sites (fractional):
Li 0.3333 0.6667 0.0000 x2
B 0.0000 0.3316 0.7027 x6
C 0.0000 0.3344 0.2891 x6

Values from the calculation:
theoretical density	2.129	g cm⁻³
M_tot	0.00	μB/atom

--- 2 ---
Computed, not measured: crystalline LiB3C3 at its relaxed geometry at the PBE level of DFT.

Cell: 13.375 2.730 6.601 Å, 90.00 94.03 90.00°
Space group C2/m (No. 12)
Symmetry-distinct sites (fractional):
Li 0.148 0.000 0.004 x4
B 0.078 0.000 0.335 x4
B 0.098 0.500 0.649 x4
B 0.240 0.500 0.246 x4
C 0.042 0.000 0.590 x4
C 0.125 0.500 0.277 x4
C 0.203 0.500 0.758 x4

Values from the calculation:
theoretical density	2.083	g cm⁻³
M_tot	0.00	μB/atom

Which one sits at the top of the stability order? 2 does.

--- 1 ---
Computed, not measured: crystalline LiB3C3 at its relaxed geometry at the PBE level of DFT.

Cell: 13.926 2.702 8.569 Å, 90.00 120.32 90.00°
Space group C2/m (No. 12)
Symmetry-distinct sites (fractional):
Li 0.000 0.000 0.000 x2
Li 0.000 0.500 0.500 x2
B 0.040 0.000 0.758 x4
B 0.131 0.500 0.250 x4
B 0.193 0.500 0.720 x4
C 0.015 0.500 0.234 x4
C 0.137 0.000 0.719 x4
C 0.189 0.000 0.256 x4

Values from the calculation:
theoretical density	1.799	g cm⁻³
M_tot	0.00	μB/atom

--- 2 ---
Computed, not measured: crystalline LiB3C3 at its relaxed geometry at the PBE level of DFT.

Cell: 2.7031 2.7031 22.6247 Å, 90.00 90.00 120.00°
Space group P-3m1 (No. 164)
Symmetry-distinct sites (fractional):
Li 0.0000 0.0000 0.1678 x2
B 0.3333 0.6667 0.2474 x2
B 0.3333 0.6667 0.5679 x2
B 0.3333 0.6667 0.9117 x2
C 0.3333 0.6667 0.0908 x2
C 0.3333 0.6667 0.4320 x2
C 0.3333 0.6667 0.7552 x2

Values from the calculation:
theoretical density	1.749	g cm⁻³
M_tot	0.00	μB/atom

Which one sits at the top of the stability order? 1 does.

--- 1 ---
Computed, not measured: crystalline LiB3C3 at its relaxed geometry at the PBE level of DFT.

Cell: 4.6642 4.6642 22.6912 Å, 90.00 90.00 120.00°
Space group R-3c (No. 167, hexagonal axes)
Symmetry-distinct sites (fractional):
Li 0.0000 0.0000 0.0000 x6
B 0.0000 0.3314 0.2500 x18
C 0.0000 0.3348 0.7500 x18

Values from the calculation:
theoretical density	1.757	g cm⁻³
M_tot	0.00	μB/atom

--- 2 ---
Computed, not measured: crystalline LiB3C3 at its relaxed geometry at the PBE level of DFT.

Cell: 2.7237 2.7237 18.4528 Å, 90.00 90.00 120.00°
Space group P-6m2 (No. 187)
Symmetry-distinct sites (fractional):
Li 0.0000 0.0000 0.0986 x2
B 0.3333 0.6667 0.1949 x2
B 0.3333 0.6667 0.5000 x1
B 0.6667 0.3333 0.0000 x1
B 0.6667 0.3333 0.3787 x2
C 0.3333 0.6667 0.0000 x1
C 0.3333 0.6667 0.3780 x2
C 0.6667 0.3333 0.1914 x2
C 0.6667 0.3333 0.5000 x1

Values from the calculation:
theoretical density	2.112	g cm⁻³
M_tot	0.00	μB/atom

Which one sits at the top of the stability order? 2 does.